A relaxed CrRe2Rh crystal. Source: the Alexandria database, functional PBE.

The structure in CIF format:
```
data_CrRe2Rh
_cell_length_a 3.8357
_cell_length_b 3.8357
_cell_length_c 7.6253
_cell_angle_alpha 90.00
_cell_angle_beta 90.00
_cell_angle_gamma 90.00
_symmetry_space_group_name_H-M 'I -4 m 2'
_symmetry_Int_Tables_number 119
_symmetry_space_group_name_Hall 'I -4 -2'
loop_
_atom_site_label
_atom_site_type_symbol
_atom_site_fract_x
_atom_site_fract_y
_atom_site_fract_z
Cr1 Cr 0.0000 0.0000 0.0000
Re1 Re 0.0000 0.0000 0.5000
Re2 Re 0.0000 0.5000 0.2500
Rh1 Rh 0.0000 0.5000 0.7500
```

Calculated values
The calculation puts the formation energy at 0.06 eV per formula unit. The energy above the lowest structure with this stoichiometry comes out at 0.000 eV/atom. Its total energy is -10.453 eV per atom. The calculation puts the magnetization at 0.0 Bohr magnetons per cell. The crystal system is tetragonal.